TbHoSi2: optimized geometry, PBE-GGA.

Values from the calculation:
- energy relative to the lowest polymorph listed for this composition (kJ/mol of atoms) = 29.9
- density (g cm⁻³) = 6.84
- ΔE_f (raw) (meV/atom) = -515
- E (eV per cell) = -66.3
- DOS(E_F) (states/eV/cell) = 5.9

Cell: 4.5825 4.5825 15.2107 Å, 90.00 90.00 120.00°
Last column: nearest neighbours and their distance in Å.
Space group R-3m (No. 166, hexagonal axes)
Unique sites:
Tb: 0.0000 0.0000 0.0000  6 Si 2.95
Ho: 0.0000 0.0000 0.5000  6 Si 2.92
Si: 0.0000 0.0000 0.2479  3 Ho 2.92, 3 Tb 2.95